{"formula": "Sr3MnF12", "functional": "PBE+U", "state": "optimized geometry", "cell": [[-3.860, -4.472, -6.782], [5.467, -4.061, 5.876], [-2.589, -3.014, 2.005]], "species": ["Sr", "Sr", "Sr", "Mn", "F", "F", "F", "F", "F", "F", "F", "F", "F", "F", "F", "F"], "fractional_positions": [[0.500, 0.500, 0.500], [0.500, 0.000, 0.000], [0.000, 0.500, 0.000], [0.000, 0.000, 0.000], [0.477, 0.288, 0.024], [0.523, 0.712, 0.976], [0.330, 0.843, 0.638], [0.712, 0.523, 0.976], [0.670, 0.157, 0.362], [0.288, 0.477, 0.024], [0.904, 0.743, 0.202], [0.157, 0.670, 0.362], [0.096, 0.257, 0.798], [0.843, 0.330, 0.638], [0.257, 0.096, 0.798], [0.743, 0.904, 0.202]], "m_tot_mub_per_fu": 7.00, "dos_at_fermi_per_ev_cell": 2.8, "energy_ev_per_atom": -4.854}